Entry 1:
The following is a GGA-PBE calculation of Na3YN2 after structural relaxation, from Alexandria.

a b c (Å): 12.5247 6.5202 7.2522
angles (deg): 65.96 90.00 90.00
With the nearest neighbours (Å) after each atom.
Sites, in units of the cell vectors:
Y1 0.6988 0.7725 0.5269  3 N 2.21-2.23
Y2 0.3012 0.2275 0.4731  3 N 2.21-2.23
Y3 0.8012 0.2725 0.5269  3 N 2.21-2.23
Y4 0.1988 0.7275 0.4731  3 N 2.21-2.23
Na1 0.1876 0.7209 0.9542  1 N 2.44
Na2 0.4619 0.7260 0.3275  4 N 2.57-2.87
Na3 0.8124 0.2791 0.0458  1 N 2.44
Na4 0.0764 0.1911 0.7766  3 N 2.46-2.52
Na5 0.9236 0.8089 0.2234  3 N 2.46-2.52
Na6 0.5381 0.2740 0.6725  4 N 2.57-2.87
Na7 0.5764 0.3089 0.2234  3 N 2.46-2.52
Na8 0.0381 0.2260 0.3275  4 N 2.57-2.87
Na9 0.4236 0.6911 0.7766  3 N 2.46-2.52
Na10 0.3124 0.2209 0.9542  1 N 2.44
Na11 0.9619 0.7740 0.6725  4 N 2.57-2.87
Na12 0.6876 0.7791 0.0458  1 N 2.44
N1 0.1693 0.9793 0.5997  2 Y 2.21-2.23, 1 Na 2.44
N2 0.0442 0.5532 0.4824  1 N 1.28
N3 0.4558 0.0532 0.4824  1 N 1.28
N4 0.3307 0.4793 0.5997  2 Y 2.21-2.23, 1 Na 2.44
N5 0.6693 0.5207 0.4003  2 Y 2.21-2.23, 1 Na 2.44
N6 0.9558 0.4468 0.5176  1 N 1.28
N7 0.8307 0.0207 0.4003  2 Y 2.21-2.23, 1 Na 2.44
N8 0.5442 0.9468 0.5176  1 N 1.28

***

Entry 2:
The following is a GGA-PBE calculation of LaPb4Cl after structural relaxation, from Alexandria.

a b c (Å): 6.4432 6.4432 6.4432
angles (deg): 60.00 60.00 60.00
With the nearest neighbours (Å) after each atom.
Sites, in units of the cell vectors:
Pb1 0.3748 0.3748 0.3748  6 Pb 3.22-3.23
Pb2 0.3748 0.3748 0.8755  6 Pb 3.22-3.23
Pb3 0.3748 0.8755 0.3748  6 Pb 3.22-3.23
Pb4 0.8755 0.3748 0.3748  6 Pb 3.22-3.23
La1 0.0000 0.0000 0.0000  12 Pb 3.78, 4 Cl 3.95
Cl1 0.7500 0.7500 0.7500  12 Pb 3.78, 4 La 3.95

***

| no. | V (Å³/f.u.) | ΔE_f (raw) (kJ per mole of atoms) |
| --- | --- | --- |
| 1 | 135.2 | -27 |
| 2 | 189.1 | -29 |